Compound: TbPr2SmS4
Source: the Alexandria database
Functional: PBE
Structure: optimized geometry

Summary:
**Density**: 6.4 g cm⁻³
**Raw formation energy**: -16.151 eV/f.u.

a = 6.972 Å, b = 3.989 Å, c = 7.077 Å
α = 90.00°, β = 108.87°, γ = 90.00°
Space group P2/m (No. 10)
Inequivalent atoms, fractional coordinates:
Tb  0.000  0.000  0.000 (multiplicity 1)
Pr  0.000  0.500  0.500 (multiplicity 1)
Pr  0.500  0.000  0.500 (multiplicity 1)
Sm  0.500  0.500  0.000 (multiplicity 1)
S  0.241  0.500  0.236 (multiplicity 2)
S  0.250  0.000  0.762 (multiplicity 2)

=====

Compound: ScTl2Ru
Source: the Alexandria database
Functional: PBE
Structure: optimized geometry

Summary:
**Density**: 11.3 g cm⁻³
**Relative energy among the computed polymorphs**: 220 meV/atom
**ΔE_f**: 0.169 eV/atom

a = 4.305 Å, b = 4.305 Å, c = 8.827 Å
α = 90.00°, β = 90.00°, γ = 90.00°
Space group I-4m2 (No. 119)
Inequivalent atoms, fractional coordinates:
Sc  0.000  0.000  0.000 (multiplicity 2)
Tl  0.000  0.000  0.500 (multiplicity 2)
Tl  0.000  0.500  0.750 (multiplicity 2)
Ru  0.000  0.500  0.250 (multiplicity 2)

=====

Compound: Sm6TmSc3
Source: the Alexandria database
Functional: PBE
Structure: optimized geometry

Summary:
**Density**: 6.5 g cm⁻³
**Relative energy among the computed polymorphs**: 0 meV/atom
**ΔE_f**: 0.139 eV/atom

a = 9.496 Å, b = 20.682 Å, c = 6.282 Å
α = 90.00°, β = 90.00°, γ = 90.00°
Space group Cmc2_1 (No. 36)
Inequivalent atoms, fractional coordinates:
Sm  0.000  0.015  0.000 (multiplicity 4)
Sm  0.000  0.302  0.980 (multiplicity 4)
Sm  0.177  0.281  0.459 (multiplicity 8)
Sm  0.179  0.442  0.195 (multiplicity 8)
Tm  0.000  0.154  0.763 (multiplicity 4)
Sc  0.000  0.417  0.677 (multiplicity 4)
Sc  0.167  0.126  0.291 (multiplicity 8)

=====

Compound: La6OsPd2I3
Source: the Alexandria database
Functional: PBE
Structure: optimized geometry

Summary:
**Density**: 6.8 g cm⁻³
**Raw formation energy**: -11.125 eV/f.u.

a = 7.441 Å, b = 12.887 Å, c = 8.636 Å
α = 90.00°, β = 106.69°, γ = 90.00°
Space group C2/m (No. 12)
Inequivalent atoms, fractional coordinates:
La  0.222  0.159  0.189 (multiplicity 8)
La  0.244  0.500  0.189 (multiplicity 4)
Os  0.000  0.000  0.000 (multiplicity 2)
Pd  0.000  0.333  0.000 (multiplicity 4)
I  0.000  0.167  0.500 (multiplicity 4)
I  0.000  0.500  0.500 (multiplicity 2)

=====

Which value of density does entry 1 give? 6.4 g cm⁻³

=====

Which formula does entry 2 have? ScTl2Ru